Model a:
First-principles (PBE+U) data for crystalline RbVPO2 at its relaxed geometry, as listed in the Alexandria database.

Total moment   2.694 μB per cell

Unit cell a=4.149 b=4.149 c=6.397 alpha=90.00 beta=90.00 gamma=90.00
Each line ends with the local moment (μB).
Fractional coordinates of all 5 atoms:
1 Rb 0.000 0.000 0.000  0.09
2 O 0.000 0.500 0.000  0.33
3 O 0.500 0.000 0.000  0.33
4 P 0.000 0.000 0.500  -0.43
5 V 0.500 0.500 0.500  2.53



Model b:
First-principles (PBE+U) data for crystalline RbVPO2 at its relaxed geometry, as listed in the Alexandria database.

Total moment   0.639 μB per cell

Unit cell a=4.031 b=4.031 c=4.807 alpha=90.00 beta=90.00 gamma=90.00
Each line ends with the local moment (μB).
Fractional coordinates of all 5 atoms:
1 O 0.000 0.500 0.000  0.20
2 O 0.500 0.000 0.000  0.20
3 P 0.000 0.000 0.500  0.53
4 Rb 0.500 0.500 0.500  0.08
5 V 0.000 0.000 0.000  -0.91



Ordering by calculated energy gives the sequence model b, model a, with the first entry being the most stable.